A plane-wave DFT calculation with PBE was carried out for an optimized crystal structure of NaCa6Cd2.

Structure (POSCAR):
```
NaCa6Cd2
1.0
-0.3510 3.4164 -2.1123
-4.2104 3.9469 3.2353
6.7881 8.6693 9.0456
Na Cd Ca
1 2 6
Direct
0.0000 0.0000 0.0000
0.7335 0.8381 0.6949
0.2665 0.1619 0.3051
0.2852 0.5579 0.8717
0.0242 0.2372 0.7145
0.7148 0.4421 0.1283
0.9758 0.7628 0.2855
0.3599 0.7435 0.5367
0.6401 0.2565 0.4633
```

Computed properties:
**SG**: C2/m
**Polymorph energy (0 for the lowest one)**: 0.0480 eV/atom

***

A plane-wave DFT calculation with PBE was carried out for an optimized crystal structure of NaCa2Cd2.

Structure (POSCAR):
```
NaCa2Cd2
1.0
5.0713 0.0000 0.0000
0.0000 5.0713 0.0000
2.5357 2.5357 6.8249
Na Cd Ca
1 2 2
Direct
0.0000 0.0000 0.0000
0.3977 0.3977 0.2046
0.6023 0.6023 0.7954
0.7500 0.2500 0.5000
0.2500 0.7500 0.5000
```

Computed properties:
**SG**: I4/mmm
**Polymorph energy (0 for the lowest one)**: 0.1712 eV/atom

***

A plane-wave DFT calculation with PBE was carried out for an optimized crystal structure of NaCa12Cd6.

Structure (POSCAR):
```
NaCa12Cd6
1.0
-1.0625 4.7187 -8.1435
-2.4098 -9.1019 -1.0297
-5.0132 4.0588 6.9358
Ca Cd Na
12 6 1
Direct
0.6457 0.5166 0.8004
0.5166 0.8004 0.6457
0.1216 0.1793 0.7357
0.8004 0.6457 0.5166
0.4834 0.1996 0.3543
0.8784 0.8207 0.2643
0.1793 0.7357 0.1216
0.1996 0.3543 0.4834
0.7357 0.1216 0.1793
0.2643 0.8784 0.8207
0.3543 0.4834 0.1996
0.8207 0.2643 0.8784
0.3399 0.0496 0.5721
0.9504 0.4279 0.6601
0.6601 0.9504 0.4279
0.0496 0.5721 0.3399
0.4279 0.6601 0.9504
0.5721 0.3399 0.0496
0.0000 0.0000 0.0000
```

Computed properties:
**SG**: R-3
**E**: -0.0645 hartree per atom

***

A plane-wave DFT calculation with PBE was carried out for an optimized crystal structure of Na2CaCd2.

Structure (POSCAR):
```
Na2CaCd2
1.0
8.4886 0.0000 0.0000
0.0000 8.4886 0.0000
0.0000 0.0000 4.2225
Na Cd Ca
4 4 2
Direct
0.3317 0.1683 0.5000
0.8317 0.3317 0.5000
0.1683 0.6683 0.5000
0.6683 0.8317 0.5000
0.3741 0.8741 0.0000
0.1259 0.3741 0.0000
0.8741 0.6259 0.0000
0.6259 0.1259 0.0000
0.0000 0.0000 0.0000
0.5000 0.5000 0.0000
```

Computed properties:
**SG**: P4/mbm
**Polymorph energy (0 for the lowest one)**: 0.0576 eV/atom